1.
The following is a GGA-PBE calculation of crystalline CuSiTe4 at its relaxed geometry, from Alexandria.

extended XYZ file:
```
12
Lattice="6.980 -0.780 0.000 -2.029 6.756 0.000 -2.475 -2.988 6.973" Properties=species:S:1:pos:R:3 pbc="T T T"
Cu 0.730 3.183 0.940
Cu 1.745 -0.195 6.033
Si 5.235 -0.585 0.967
Si -2.760 3.573 6.006
Te 0.597 -1.706 4.252
Te -1.659 5.099 0.865
Te -0.418 1.672 2.720
Te -0.644 1.721 6.108
Te 1.878 4.694 2.720
Te 2.893 1.316 4.252
Te 4.134 -2.111 6.108
Te 3.119 1.266 0.865
```

Results
Its energy above the most stable polymorph in this dataset is 0.00 eV/f.u. Its magnetization is 0.000 Bohr magnetons per cell. Its space group is C2/c (15).

=====

2.
The following is a GGA-PBE calculation of crystalline MnH6Pd5 at its relaxed geometry, from Alexandria.

extended XYZ file:
```
12
Lattice="5.055 0.205 0.000 1.619 4.861 0.000 0.809 2.430 4.383" Properties=species:S:1:pos:R:3 pbc="T T T"
Mn 0.000 0.000 0.000
H 4.290 1.542 1.586
H 2.383 3.524 1.586
H 1.878 1.271 0.000
H 4.796 3.795 0.000
H 5.099 3.972 2.797
H 3.193 5.955 2.797
Pd 3.337 2.533 2.972
Pd 0.809 2.430 1.482
Pd 3.337 2.533 0.000
Pd 1.619 4.861 2.901
Pd 4.146 4.963 1.411
```

Results
As for the electronic total energy: -4.696 eV/atom. Its magnetization is 4.445 Bohr magnetons per cell. Its space group is C2/m (12).

=====

3.
The following is a GGA-PBE calculation of crystalline Ac4AlCd3 at its relaxed geometry, from Alexandria.

extended XYZ file:
```
8
Lattice="-5.479 -1.445 0.753 -1.485 -5.510 0.317 -1.100 -2.114 9.641" Properties=species:S:1:pos:R:3 pbc="T T T"
Ac -6.514 -6.879 4.488
Ac -3.565 -4.456 8.899
Ac -1.549 -2.189 6.222
Ac -4.498 -4.612 1.811
Al 0.000 0.000 0.000
Cd -2.012 -2.266 2.710
Cd -6.052 -6.802 8.001
Cd -4.032 -4.534 5.355
```

Results
Its magnetization is 0.000 Bohr magnetons per cell. Its space group is R-3m (166). The formation energy comes out at -0.27 eV per atom.

=====

4.
The following is a GGA-PBE calculation of crystalline YCuSbP2 at its relaxed geometry, from Alexandria.

extended XYZ file:
```
5
Lattice="4.484 0.000 0.000 0.000 5.399 0.000 0.000 0.000 4.484" Properties=species:S:1:pos:R:3 pbc="T T T"
Y 0.000 2.699 0.000
Sb 2.242 2.699 2.242
Cu 0.000 0.000 0.000
P 0.000 0.000 2.242
P 2.242 0.000 0.000
```

Results
As for the electronic total energy: -5.018 eV/atom. Its magnetization is 0.000 Bohr magnetons per cell. Its space group is P4/mmm (123).

=====

V / A^3/atom: 26.5 8.9 33.1 21.7